Arrangement a

# TlWS2

A geometry-optimized TlWS2 structure (PBE, Alexandria).

```
TlWS2
1.0
-7.157 -5.872 -2.702
-4.978 -8.091 -1.661
-6.984 -6.632 0.484
S Tl W
2 1 1
direct
0.112 0.112 0.112
0.888 0.888 0.888
0.000 0.000 0.000
0.500 0.500 0.500
```

***

Arrangement b

# TlWS2

A geometry-optimized TlWS2 structure (PBE, Alexandria).

```
TlWS2
1.0
6.684 0.000 0.000
0.000 6.684 0.000
3.342 3.342 5.006
S Tl W
4 2 2
direct
0.511 0.125 0.250
0.375 0.489 0.750
0.239 0.625 0.250
0.875 0.761 0.750
0.000 0.000 0.000
0.750 0.250 0.500
0.250 0.750 0.500
0.500 0.500 0.000
```

***

Q: What are the energies relative to the best structure? A: arrangement a 0.0; arrangement b 31.7, in kJ/mol of atoms.

***

Arrangement a

# TlW3S

A geometry-optimized TlW3S structure (PBE, Alexandria).

```
TlW3S
1.0
-3.481 -2.357 -1.555
1.366 -3.566 2.347
-2.471 1.349 3.487
Tl W S
1 3 1
direct
0.500 0.500 0.500
0.000 0.500 0.000
0.000 0.000 0.500
0.500 0.000 0.000
0.000 0.000 0.000
```

***

Arrangement b

# TlW3S

A geometry-optimized TlW3S structure (PBE, Alexandria).

```
TlW3S
1.0
-4.716 -1.263 -1.072
-1.063 -0.174 4.881
-1.271 4.833 -0.105
W S Tl
3 1 1
direct
0.000 0.500 0.000
0.000 0.000 0.500
0.500 0.000 0.000
0.500 0.500 0.500
0.000 0.000 0.000
```

***

Q: What are the energies relative to the best structure? A: arrangement a 0.0; arrangement b 245.6, in kJ/mol of atoms.

***

Arrangement a

# Y3TlS

A geometry-optimized Y3TlS structure (PBE, Alexandria).

```
Y3TlS
1.0
-5.757 -2.302 -2.242
4.339 -7.024 -3.928
-3.457 -0.927 9.829
Y S Tl
12 4 4
direct
0.370 0.092 0.711
0.870 0.408 0.789
0.089 0.718 0.657
0.130 0.592 0.211
0.630 0.908 0.289
0.911 0.282 0.343
0.922 0.162 0.958
0.422 0.338 0.542
0.578 0.662 0.458
0.078 0.838 0.042
0.411 0.218 0.157
0.589 0.782 0.843
0.262 0.979 0.899
0.762 0.521 0.601
0.738 0.021 0.101
0.238 0.479 0.399
0.165 0.001 0.384
0.335 0.501 0.884
0.665 0.499 0.116
0.835 0.999 0.616
```

***

Arrangement b

# Y3TlS

A geometry-optimized Y3TlS structure (PBE, Alexandria).

```
Y3TlS
1.0
-0.117 3.864 -0.790
-7.546 0.776 4.911
8.143 2.718 12.081
Y S Tl
12 4 4
direct
0.250 0.666 0.989
0.250 0.529 0.389
0.250 0.029 0.111
0.750 0.708 0.216
0.750 0.334 0.011
0.750 0.834 0.489
0.750 0.971 0.889
0.250 0.166 0.511
0.250 0.292 0.784
0.750 0.471 0.611
0.250 0.792 0.716
0.750 0.208 0.284
0.750 0.340 0.445
0.250 0.160 0.945
0.750 0.840 0.055
0.250 0.660 0.555
0.250 0.932 0.327
0.250 0.432 0.173
0.750 0.068 0.673
0.750 0.568 0.827
```

***

Q: What are the energies relative to the best structure? A: arrangement a 11.4; arrangement b 0.0, in kJ/mol of atoms.

***

Arrangement a

# Y2TlS2

A geometry-optimized Y2TlS2 structure (PBE, Alexandria).

```
Y2TlS2
1.0
-6.639 -0.277 -4.550
4.212 -3.446 -5.936
-0.765 -3.194 1.311
Tl S Y
2 4 4
direct
0.500 0.500 0.000
0.000 0.000 0.000
0.863 0.363 0.500
0.363 0.137 0.500
0.137 0.637 0.500
0.637 0.863 0.500
0.844 0.656 0.000
0.656 0.156 0.000
0.156 0.344 0.000
0.344 0.844 0.000
```

***

Arrangement b

# Y2TlS2

A geometry-optimized Y2TlS2 structure (PBE, Alexandria).

```
Y2TlS2
1.0
4.773 0.000 0.000
0.000 4.773 0.000
2.386 2.386 6.157
Tl Y S
1 2 2
direct
0.000 0.000 0.000
0.648 0.648 0.705
0.352 0.352 0.295
0.750 0.250 0.500
0.250 0.750 0.500
```

***

Q: What are the energies relative to the best structure? A: arrangement a 9.6; arrangement b 0.0, in kJ/mol of atoms.